(1)
This record from Alexandria via LeMat-Bulk describes a relaxed structure of BaTeRh2. The functional is GGA-PBE.

Output
total moment: 0.0 μB per formula unit
uncorrected formation energy: -502 meV/atom
E: -21.77 eV for the cell shown

```
data_BaTeRh2
_symmetry_space_group_name_H-M 'P 1'
_symmetry_Int_Tables_number 1
_cell_length_a 6.173
_cell_length_b 6.173
_cell_length_c 6.173
_cell_angle_alpha 43.32
_cell_angle_beta 43.32
_cell_angle_gamma 43.32
loop_
_symmetry_equiv_pos_as_xyz
'x,y,z'
loop_
_atom_site_label
_atom_site_type_symbol
_atom_site_fract_x
_atom_site_fract_y
_atom_site_fract_z
Ba1 Ba 0.000 0.000 0.000
Te1 Te 0.500 0.500 0.500
Rh1 Rh 0.196 0.196 0.196
Rh2 Rh 0.804 0.804 0.804
```



(2)
This record from Alexandria via LeMat-Bulk describes a relaxed structure of Ba2TeRh. The functional is GGA-PBE.

Output
total moment: 0.5 μB per formula unit
uncorrected formation energy: -651 meV/atom
E: -16.94 eV for the cell shown

```
data_Ba2TeRh
_symmetry_space_group_name_H-M 'P 1'
_symmetry_Int_Tables_number 1
_cell_length_a 8.727
_cell_length_b 8.727
_cell_length_c 8.727
_cell_angle_alpha 149.64
_cell_angle_beta 148.21
_cell_angle_gamma 44.54
loop_
_symmetry_equiv_pos_as_xyz
'x,y,z'
loop_
_atom_site_label
_atom_site_type_symbol
_atom_site_fract_x
_atom_site_fract_y
_atom_site_fract_z
Ba1 Ba 0.000 0.000 0.000
Ba2 Ba 0.723 0.223 0.500
Te1 Te 0.567 0.567 0.000
Rh1 Rh 0.137 0.637 0.500
```



(3)
This record from Alexandria via LeMat-Bulk describes a relaxed structure of Ba2TeRh2. The functional is GGA-PBE.

Output
total moment: 0.0 μB per formula unit
uncorrected formation energy: -427 meV/atom
E: -47.65 eV for the cell shown

```
data_Ba2TeRh2
_symmetry_space_group_name_H-M 'P 1'
_symmetry_Int_Tables_number 1
_cell_length_a 7.562
_cell_length_b 7.562
_cell_length_c 4.728
_cell_angle_alpha 90.00
_cell_angle_beta 90.00
_cell_angle_gamma 90.00
loop_
_symmetry_equiv_pos_as_xyz
'x,y,z'
loop_
_atom_site_label
_atom_site_type_symbol
_atom_site_fract_x
_atom_site_fract_y
_atom_site_fract_z
Ba1 Ba 0.180 0.320 0.000
Ba2 Ba 0.320 0.820 0.000
Ba3 Ba 0.680 0.180 0.000
Ba4 Ba 0.820 0.680 0.000
Te1 Te 0.000 0.000 0.500
Te2 Te 0.500 0.500 0.500
Rh1 Rh 0.124 0.624 0.500
Rh2 Rh 0.376 0.124 0.500
Rh3 Rh 0.624 0.876 0.500
Rh4 Rh 0.876 0.376 0.500
```



(4)
This record from Alexandria via LeMat-Bulk describes a relaxed structure of Ba2TeRh. The functional is GGA-PBE.

Output
total moment: 0.0 μB per formula unit
uncorrected formation energy: -755 meV/atom
E: -17.36 eV for the cell shown

```
data_Ba2TeRh
_symmetry_space_group_name_H-M 'P 1'
_symmetry_Int_Tables_number 1
_cell_length_a 9.084
_cell_length_b 9.084
_cell_length_c 9.084
_cell_angle_alpha 30.06
_cell_angle_beta 30.06
_cell_angle_gamma 30.06
loop_
_symmetry_equiv_pos_as_xyz
'x,y,z'
loop_
_atom_site_label
_atom_site_type_symbol
_atom_site_fract_x
_atom_site_fract_y
_atom_site_fract_z
Ba1 Ba 0.000 0.000 0.000
Ba2 Ba 0.161 0.161 0.161
Te1 Te 0.413 0.413 0.413
Rh1 Rh 0.749 0.749 0.749
```